1.
Material: NaTi4Te8
Method: DFT, PBE
State: relaxed

Output
DOS(E_F)	0.6034	states/eV/atom
energy above the most stable polymorph in this dataset	121	meV/atom
V	1558.7	Å³/cell
DFT total energy	-264.25	eV for the cell shown
total magnetization	1.08	μB per formula unit

Structure (CIF):
```
data_NaTi4Te8
_chemical_formula_sum 'Na4 Ti16 Te32'
_cell_length_a 11.594
_cell_length_b 11.594
_cell_length_c 11.594
_cell_angle_alpha 90.00
_cell_angle_beta 90.00
_cell_angle_gamma 90.00
_space_group_name_H-M_alt 'F -4 3 m'
_space_group_IT_number 216
_space_group_name_Hall 'F -4 2 3'
loop_
_atom_site_label
_atom_site_type_symbol
_atom_site_fract_x
_atom_site_fract_y
_atom_site_fract_z
Na1 Na 0.000 0.000 0.000
Ti1 Ti 0.117 0.117 0.383
Te1 Te 0.124 0.124 0.624
Te2 Te 0.140 0.140 0.140
```



2.
Material: Sr2NdEu
Method: DFT, PBE
State: relaxed

Output
DOS(E_F)	3.0247	states/eV/atom
energy above the most stable polymorph in this dataset	24	meV/atom
formation enthalpy at 0 K	0.15	eV per atom
V	179.3	Å³/cell
DFT total energy	-17.81	eV for the cell shown
total magnetization	7.35	μB per formula unit

Structure (CIF):
```
data_Sr2NdEu
_chemical_formula_sum 'Sr2 Nd1 Eu1'
_cell_length_a 6.391
_cell_length_b 6.391
_cell_length_c 4.389
_cell_angle_alpha 90.00
_cell_angle_beta 90.00
_cell_angle_gamma 90.00
_space_group_name_H-M_alt 'P 4/m m m'
_space_group_IT_number 123
_space_group_name_Hall '-P 4 2'
loop_
_atom_site_label
_atom_site_type_symbol
_atom_site_fract_x
_atom_site_fract_y
_atom_site_fract_z
Sr1 Sr 0.000 0.500 0.000
Nd1 Nd 0.000 0.000 0.500
Eu1 Eu 0.500 0.500 0.500
```



3.
Material: Rb2MnIrCl6
Method: DFT, PBE
State: relaxed

Output
DOS(E_F)	0.2886	states/eV/atom
V	484.7	Å³/cell
DFT total energy	-82.63	eV for the cell shown
total magnetization	4.05	μB per formula unit

Structure (CIF):
```
data_Rb2MnIrCl6
_chemical_formula_sum 'Rb4 Mn2 Ir2 Cl12'
_cell_length_a 7.301
_cell_length_b 7.301
_cell_length_c 9.094
_cell_angle_alpha 90.00
_cell_angle_beta 90.00
_cell_angle_gamma 90.00
_space_group_name_H-M_alt 'I 4/m m m'
_space_group_IT_number 139
_space_group_name_Hall '-I 4 2'
loop_
_atom_site_label
_atom_site_type_symbol
_atom_site_fract_x
_atom_site_fract_y
_atom_site_fract_z
Rb1 Rb 0.000 0.500 0.250
Mn1 Mn 0.000 0.000 0.000
Ir1 Ir 0.000 0.000 0.500
Cl1 Cl 0.000 0.000 0.247
Cl2 Cl 0.242 0.242 0.500
```



4.
Material: K2Cd2Ru
Method: DFT, PBE
State: relaxed

Output
DOS(E_F)	0.4766	states/eV/atom
energy above the most stable polymorph in this dataset	527	meV/atom
formation enthalpy at 0 K	1.00	eV per atom
V	284.2	Å³/cell
DFT total energy	-16.61	eV for the cell shown
total magnetization	1.99	μB per formula unit

Structure (CIF):
```
data_K2Cd2Ru
_chemical_formula_sum 'K4 Cd4 Ru2'
_cell_length_a 4.240
_cell_length_b 4.240
_cell_length_c 15.809
_cell_angle_alpha 90.00
_cell_angle_beta 90.00
_cell_angle_gamma 90.00
_space_group_name_H-M_alt 'I 4/m m m'
_space_group_IT_number 139
_space_group_name_Hall '-I 4 2'
loop_
_atom_site_label
_atom_site_type_symbol
_atom_site_fract_x
_atom_site_fract_y
_atom_site_fract_z
K1 K 0.000 0.500 0.250
Cd1 Cd 0.000 0.000 0.083
Ru1 Ru 0.000 0.000 0.500
```